No. 1
# HfFeSeBr2

An optimized crystal structure of HfFeSeBr2 (GGA-PBE, Alexandria).

Unit cell a=5.316 b=5.316 c=5.147 alpha=90.00 beta=90.00 gamma=90.00
Fractional coordinates of all 5 atoms:
1 Fe 0.500 0.500 0.500
2 Se 0.000 0.000 0.500
3 Br 0.500 0.000 0.000
4 Hf 0.000 0.000 0.000
5 Br 0.000 0.500 0.000

Results
SG: P4/mmm (123)
Relative energy among the computed polymorphs: 0.00 eV/f.u.
Formation energy from raw total energies: 10 meV/atom
Raw total energy: -25.194 eV/f.u.
Spin magnetization: 4.40 μB/cell

***

No. 2
# Fe2HgBr

An optimized crystal structure of Fe2HgBr (GGA-PBE, Alexandria).

Unit cell a=3.093 b=5.627 c=4.397 alpha=90.00 beta=90.00 gamma=90.00
Fractional coordinates of all 4 atoms:
1 Fe 0.500 0.500 0.000
2 Br 0.000 0.500 0.500
3 Hg 0.500 0.000 0.500
4 Fe 0.000 0.000 0.000

Results
SG: Pmmm (47)
Relative energy among the computed polymorphs: 1.75 eV/f.u.
Formation energy from raw total energies: 720 meV/atom
Raw total energy: -16.021 eV/f.u.
Spin magnetization: 5.85 μB/cell

***

No. 3
# Fe4HgBr

An optimized crystal structure of Fe4HgBr (GGA-PBE, Alexandria).

Unit cell a=5.148 b=5.148 c=5.148 alpha=60.00 beta=60.00 gamma=60.00
Fractional coordinates of all 6 atoms:
1 Fe 0.377 0.377 0.869
2 Br 0.000 0.000 0.000
3 Fe 0.377 0.869 0.377
4 Hg 0.750 0.750 0.750
5 Fe 0.377 0.377 0.377
6 Fe 0.869 0.377 0.377

Results
SG: F-43m (216)
Formation energy from raw total energies: 599 meV/atom
Raw total energy: -32.233 eV/f.u.
Spin magnetization: 11.70 μB/cell

***

No. 4
# Fe2HgBr

An optimized crystal structure of Fe2HgBr (GGA-PBE, Alexandria).

Unit cell a=3.223 b=3.903 c=6.480 alpha=90.12 beta=90.00 gamma=90.00
Fractional coordinates of all 4 atoms:
1 Hg 0.500 0.250 0.250
2 Fe 0.000 0.749 0.070
3 Br 0.500 0.750 0.750
4 Fe 0.000 0.751 0.430

Results
SG: P2/m (10)
Relative energy among the computed polymorphs: 0.43 eV/f.u.
Formation energy from raw total energies: 390 meV/atom
Raw total energy: -17.340 eV/f.u.
Spin magnetization: 5.78 μB/cell

***

No. 5
# Fe2HgBr

An optimized crystal structure of Fe2HgBr (GGA-PBE, Alexandria).

Unit cell a=3.203 b=3.203 c=7.653 alpha=90.00 beta=90.00 gamma=89.98
Fractional coordinates of all 4 atoms:
1 Fe 0.000 0.000 0.045
2 Br 0.500 0.500 0.846
3 Fe 0.500 0.500 0.192
4 Hg 0.000 0.000 0.418

Results
SG: P4mm (99)
Relative energy among the computed polymorphs: 0.06 eV/f.u.
Formation energy from raw total energies: 296 meV/atom
Raw total energy: -17.717 eV/f.u.
Spin magnetization: 5.54 μB/cell

***

No. 6
# FeHg2Br

An optimized crystal structure of FeHg2Br (GGA-PBE, Alexandria).

Unit cell a=3.216 b=3.216 c=9.276 alpha=90.00 beta=90.00 gamma=90.00
Fractional coordinates of all 4 atoms:
1 Hg 0.000 0.000 0.942
2 Br 0.000 0.000 0.585
3 Fe 0.500 0.500 0.742
4 Hg 0.500 0.500 0.231

Results
SG: P4mm (99)
Relative energy among the computed polymorphs: 0.22 eV/f.u.
Formation energy from raw total energies: 181 meV/atom
Raw total energy: -10.015 eV/f.u.
Spin magnetization: 3.28 μB/cell

***

No. 7
# FeHg2Br

An optimized crystal structure of FeHg2Br (GGA-PBE, Alexandria).

Unit cell a=5.106 b=5.106 c=5.106 alpha=60.00 beta=60.00 gamma=60.00
Fractional coordinates of all 4 atoms:
1 Hg 0.250 0.250 0.250
2 Br 0.500 0.500 0.500
3 Fe 0.750 0.750 0.750
4 Hg 0.000 0.000 0.000

Results
SG: F-43m (216)
Relative energy among the computed polymorphs: 1.74 eV/f.u.
Formation energy from raw total energies: 562 meV/atom
Raw total energy: -8.490 eV/f.u.
Spin magnetization: 3.24 μB/cell

***

No. 8
# Fe2HgBr

An optimized crystal structure of Fe2HgBr (GGA-PBE, Alexandria).

Unit cell a=4.662 b=4.662 c=4.662 alpha=60.00 beta=60.00 gamma=60.00
Fractional coordinates of all 4 atoms:
1 Br 0.500 0.500 0.500
2 Fe 0.250 0.250 0.250
3 Hg 0.750 0.750 0.750
4 Fe 0.000 0.000 0.000

Results
SG: F-43m (216)
Relative energy among the computed polymorphs: 2.62 eV/f.u.
Formation energy from raw total energies: 936 meV/atom
Raw total energy: -15.154 eV/f.u.
Spin magnetization: 5.00 μB/cell

***

No. 9
# Fe2HgBr

An optimized crystal structure of Fe2HgBr (GGA-PBE, Alexandria).

Unit cell a=4.146 b=4.146 c=6.915 alpha=82.26 beta=82.26 gamma=45.60
Fractional coordinates of all 4 atoms:
1 Br 0.278 0.278 0.147
2 Hg 0.472 0.472 0.587
3 Fe 0.015 0.015 0.952
4 Fe 0.736 0.736 0.814

Results
SG: Cm (8)
Relative energy among the computed polymorphs: 0.58 eV/f.u.
Formation energy from raw total energies: 427 meV/atom
Raw total energy: -17.193 eV/f.u.
Spin magnetization: 5.52 μB/cell

***

No. 10
# FeHg2Br

An optimized crystal structure of FeHg2Br (GGA-PBE, Alexandria).

Unit cell a=3.414 b=3.414 c=8.470 alpha=90.00 beta=90.00 gamma=112.17
Fractional coordinates of all 4 atoms:
1 Fe 0.500 0.500 0.750
2 Hg 0.000 0.000 0.523
3 Br 0.500 0.500 0.250
4 Hg 0.000 0.000 0.977

Results
SG: Cmmm (65)
Relative energy among the computed polymorphs: 0.81 eV/f.u.
Formation energy from raw total energies: 330 meV/atom
Raw total energy: -9.419 eV/f.u.
Spin magnetization: 3.09 μB/cell

***

No. 11
# Fe2HgBr

An optimized crystal structure of Fe2HgBr (GGA-PBE, Alexandria).

Unit cell a=5.002 b=5.002 c=7.737 alpha=53.16 beta=53.16 gamma=37.01
Fractional coordinates of all 4 atoms:
1 Fe 0.952 0.952 0.892
2 Fe 0.548 0.548 0.608
3 Hg 0.750 0.750 0.750
4 Br 0.250 0.250 0.250

Results
SG: C2/m (12)
Relative energy among the computed polymorphs: 0.03 eV/f.u.
Formation energy from raw total energies: 289 meV/atom
Raw total energy: -17.743 eV/f.u.
Spin magnetization: 5.74 μB/cell

***

No. 12
# FeHg2Br

An optimized crystal structure of FeHg2Br (GGA-PBE, Alexandria).

Unit cell a=8.972 b=8.972 c=6.831 alpha=48.95 beta=48.95 gamma=90.00
Fractional coordinates of all 8 atoms:
1 Hg 0.875 0.783 0.750
2 Fe 0.250 0.750 0.500
3 Hg 0.375 0.467 0.750
4 Br 0.000 0.000 0.000
5 Hg 0.533 0.125 0.250
6 Fe 0.500 0.500 0.000
7 Br 0.750 0.250 0.500
8 Hg 0.217 0.625 0.250

Results
SG: I-42d (122)
Relative energy among the computed polymorphs: 0.55 eV/f.u.
Formation energy from raw total energies: 265 meV/atom
Raw total energy: -9.680 eV/f.u.
Spin magnetization: 6.01 μB/cell

***

Repeat the second record exactly.
# Fe2HgBr

An optimized crystal structure of Fe2HgBr (GGA-PBE, Alexandria).

Unit cell a=3.093 b=5.627 c=4.397 alpha=90.00 beta=90.00 gamma=90.00
Fractional coordinates of all 4 atoms:
1 Fe 0.500 0.500 0.000
2 Br 0.000 0.500 0.500
3 Hg 0.500 0.000 0.500
4 Fe 0.000 0.000 0.000

Results
SG: Pmmm (47)
Relative energy among the computed polymorphs: 1.75 eV/f.u.
Formation energy from raw total energies: 720 meV/atom
Raw total energy: -16.021 eV/f.u.
Spin magnetization: 5.85 μB/cell

***

- The lowest spin magnetization belongs to which entry?
  number 10

***

- Which of these has the highest formation energy from raw total energies?
  number 8